Entry from the Alexandria database: a geometry-optimized CuGeWO6 structure (PBE with a Hubbard U).

Structure (POSCAR):
```
CuGeWO6
1.0
-0.3763 4.3183 -2.6193
-2.6532 -4.0696 -1.4317
-6.8242 2.5975 5.2629
Cu Ge W O
2 2 2 12
direct
0.0000 0.0000 0.0000
0.0000 0.0000 0.5000
0.6667 0.3333 0.2500
0.3333 0.6667 0.7500
0.3333 0.6667 0.2500
0.6667 0.3333 0.7500
0.6462 0.6409 0.1340
0.9948 0.3538 0.1340
0.3538 0.9948 0.6340
0.0052 0.6462 0.8660
0.3590 0.3538 0.3660
0.9948 0.6409 0.3660
0.6410 0.9948 0.8660
0.6462 0.0052 0.3660
0.0052 0.3591 0.6340
0.3590 0.0052 0.1340
0.6410 0.6462 0.6340
0.3538 0.3591 0.8660
```

Calculated total energy, eV per atom: -6.462
SG: P-31c
D(E_F), states/eV/atom: 0.396